[1]
Material: Fe2Co2Ru
Method: DFT, GGA-PBE
State: relaxed

Output
For the size of the total moment, the calculation gives 6.78 μB per formula unit. As for the excess energy over the best structure of this formula in the dataset: 0 meV per atom. As for the symmetry: P4/mbm, No. 127.

a b c (Å): 6.680 6.680 2.662
angles (deg): 90.00 90.00 90.00
Site moments in Bohr magnetons follow the coordinates.
Sites, in units of the cell vectors:
Co 0.870 0.630 0.000  1.17
Co 0.630 0.130 0.000  1.22
Co 0.370 0.870 0.000  1.22
Co 0.130 0.370 0.000  1.17
Fe 0.168 0.668 0.500  2.35
Fe 0.832 0.332 0.500  2.35
Fe 0.332 0.168 0.500  2.36
Fe 0.668 0.832 0.500  2.36
Ru 0.500 0.500 0.000  -0.29
Ru 0.000 0.000 0.000  -0.31


[2]
Material: FeCo2Ru
Method: DFT, GGA-PBE
State: relaxed

Output
For the size of the total moment, the calculation gives 4.28 μB per formula unit. As for the excess energy over the best structure of this formula in the dataset: 6 meV per atom. As for the symmetry: P2/m, No. 10.

a b c (Å): 3.545 2.592 5.731
angles (deg): 62.98 90.00 90.00
Site moments in Bohr magnetons follow the coordinates.
Sites, in units of the cell vectors:
Fe 0.500 0.250 0.250  2.50
Co 0.000 0.503 0.497  0.89
Co 0.000 0.997 0.003  0.89
Ru 0.500 0.750 0.750  0.03


[3]
Material: FeCo2Ru
Method: DFT, GGA-PBE
State: relaxed

Output
For the size of the total moment, the calculation gives 4.55 μB per formula unit. As for the excess energy over the best structure of this formula in the dataset: 28 meV per atom. As for the symmetry: Pmm2, No. 25.

a b c (Å): 2.588 3.540 5.142
angles (deg): 90.00 90.00 90.00
Site moments in Bohr magnetons follow the coordinates.
Sites, in units of the cell vectors:
Ru 0.500 0.500 0.753  -0.17
Co 0.000 0.000 0.012  1.18
Co 0.500 0.500 0.246  1.39
Fe 0.000 0.000 0.489  2.19


[4]
Material: FeCo2Ru
Method: DFT, GGA-PBE
State: relaxed

Output
For the size of the total moment, the calculation gives 5.28 μB per formula unit. As for the excess energy over the best structure of this formula in the dataset: 35 meV per atom. As for the symmetry: R3m, No. 160.

a b c (Å): 8.425 8.425 8.425
angles (deg): 17.65 17.65 17.65
Site moments in Bohr magnetons follow the coordinates.
Sites, in units of the cell vectors:
Co 0.996 0.996 0.996  1.52
Co 0.251 0.251 0.251  1.65
Ru 0.750 0.750 0.750  -0.06
Fe 0.503 0.503 0.503  2.23


[5]
Material: FeCo2Ru
Method: DFT, GGA-PBE
State: relaxed

Output
For the size of the total moment, the calculation gives 7.41 μB per formula unit. As for the excess energy over the best structure of this formula in the dataset: 93 meV per atom. As for the symmetry: C2/m, No. 12.

a b c (Å): 4.838 4.825 2.530
angles (deg): 79.92 79.99 117.11
Site moments in Bohr magnetons follow the coordinates.
Sites, in units of the cell vectors:
Co 0.500 0.000 0.500  1.86
Co 0.000 0.000 0.000  1.86
Ru 0.500 0.500 0.000  0.92
Fe 0.000 0.500 0.500  2.81


[6]
Material: Fe6CoRu
Method: DFT, GGA-PBE
State: relaxed

Output
For the size of the total moment, the calculation gives 16.77 μB per formula unit. As for the excess energy over the best structure of this formula in the dataset: 30 meV per atom. As for the symmetry: Pm-3, No. 200.

a b c (Å): 6.497 6.494 4.592
angles (deg): 45.03 45.01 60.05
Site moments in Bohr magnetons follow the coordinates.
Sites, in units of the cell vectors:
Fe 0.500 0.247 0.252  2.50
Fe 0.500 0.753 0.748  2.50
Fe 0.000 0.500 0.748  2.49
Fe 0.753 0.000 0.747  2.50
Fe 0.247 0.000 0.253  2.50
Fe 0.000 0.500 0.252  2.49
Co 0.000 0.000 0.000  1.76
Ru 0.500 0.500 0.500  0.16


| no. | ΔH_f (0 K) (meV per atom) |
| --- | --- |
| 1 | 237 |
| 2 | 117 |
| 3 | 139 |
| 4 | 146 |
| 5 | 204 |
| 6 | 67 |